[1]
{
  "formula": "CaThGa2",
  "functional": "PBE",
  "state": "optimized geometry",
  "total_energy_ev_per_cell": -16.347,
  "space_group": "No. 166",
  "cell": [[1.822, 1.052, 9.353], [-1.822, 1.052, 9.353], [0.000, -2.104, 9.353]],
  "species": ["Ca", "Th", "Ga", "Ga"],
  "fractional_positions": [[0.000, 0.000, 0.000], [0.500, 0.500, 0.500], [0.251, 0.251, 0.251], [0.749, 0.749, 0.749]]
}



[2]
{
  "formula": "NdHo3Ru2",
  "functional": "PBE",
  "state": "optimized geometry",
  "de_polymorph_mev_per_atom": 136,
  "space_group": "No. 191",
  "cell": [[6.744, 0.000, 0.000], [-3.372, 5.840, 0.000], [0.000, 0.000, 3.951]],
  "species": ["Nd", "Ho", "Ho", "Ho", "Ru", "Ru"],
  "fractional_positions": [[0.000, 0.000, 0.000], [0.000, 0.500, 0.500], [0.500, 0.000, 0.500], [0.500, 0.500, 0.500], [0.333, 0.667, 0.000], [0.667, 0.333, 0.000]]
}



no.,Fermi-level density of states (states/eV per cell)
1,3.1
2,4.6